A relaxed structure of VOsIO2, computed with PBE with a Hubbard U.

a b c (Å): 3.7970 3.7970 8.2924
angles (deg): 90.00 90.00 90.00
Positions (direct):
V 0.0000 0.0000 0.0000
Os 0.5000 0.5000 0.5000
I 0.5000 0.5000 0.0000
O 0.0000 0.5000 0.5000
O 0.5000 0.0000 0.5000

**Space-group type**: No. 123

***

A relaxed structure of OsWI2O, computed with PBE with a Hubbard U.

a b c (Å): 5.6255 5.6255 3.7544
angles (deg): 90.00 90.00 90.00
Positions (direct):
Os 0.0000 0.0000 0.0000
W 0.5000 0.5000 0.5000
I 0.0000 0.5000 0.0000
I 0.5000 0.0000 0.0000
O 0.0000 0.0000 0.5000

**Space-group type**: No. 123

***

A relaxed structure of OsWIO2, computed with PBE with a Hubbard U.

a b c (Å): 3.8500 3.8500 7.8434
angles (deg): 90.00 90.00 90.00
Positions (direct):
Os 0.0000 0.0000 0.0000
W 0.5000 0.5000 0.5000
I 0.5000 0.5000 0.0000
O 0.0000 0.5000 0.5000
O 0.5000 0.0000 0.5000

**Space-group type**: No. 123

***

A relaxed structure of OsWIO2, computed with PBE with a Hubbard U.

a b c (Å): 3.8687 3.8687 8.0642
angles (deg): 90.00 90.00 90.00
Positions (direct):
Os 0.0000 0.0000 0.0000
W 0.5000 0.5000 0.5000
I 0.0000 0.0000 0.5000
O 0.0000 0.5000 0.0000
O 0.5000 0.0000 0.0000

**Space-group type**: No. 123

***

A relaxed structure of OsWI2O, computed with PBE with a Hubbard U.

a b c (Å): 5.8418 5.8418 3.8343
angles (deg): 90.00 90.00 90.00
Positions (direct):
Os 0.0000 0.0000 0.0000
W 0.5000 0.5000 0.5000
I 0.0000 0.5000 0.5000
I 0.5000 0.0000 0.5000
O 0.5000 0.5000 0.0000

**Space-group type**: No. 123

***

Values of magnetization, in order: 3.80 4.09 3.16 4.54 6.01, all in μB per formula unit.
Values of calculated total energy, in order: -30.67 -23.31 -29.53 -28.48 -22.06, all in eV for the cell shown.